{"formula": "CsSiAgTeS2", "functional": "PBE", "state": "relaxed", "space_group": "Cmcm", "lattice_angstrom": [[1.761, -8.703, 0.000], [1.761, 8.703, 0.000], [0.000, 0.000, 10.860]], "species": ["Ag", "Ag", "Cs", "Cs", "Te", "Te", "S", "S", "S", "S", "Si", "Si"], "frac_coords": [[0.085, 0.915, 0.250], [0.915, 0.085, 0.750], [0.238, 0.762, 0.750], [0.762, 0.238, 0.250], [0.449, 0.551, 0.250], [0.551, 0.449, 0.750], [0.095, 0.905, 0.028], [0.905, 0.095, 0.528], [0.095, 0.905, 0.472], [0.905, 0.095, 0.972], [0.500, 0.500, 0.000], [0.500, 0.500, 0.500]]}

=====

{"formula": "CsAg3SnS4", "functional": "PBE", "state": "relaxed", "space_group": "P-43m", "lattice_angstrom": [[-1.482, -6.392, 0.298], [6.000, -1.282, 2.345], [-2.224, 0.801, 6.128]], "species": ["Ag", "Ag", "Ag", "Sn", "S", "S", "S", "S", "Cs"], "frac_coords": [[0.000, 0.500, 0.500], [0.500, 0.500, 0.000], [0.500, 0.000, 0.500], [0.500, 0.500, 0.500], [0.712, 0.288, 0.712], [0.288, 0.712, 0.712], [0.712, 0.712, 0.288], [0.288, 0.288, 0.288], [0.000, 0.000, 0.000]]}

=====

{"formula": "CsAgSnTeS2", "functional": "PBE", "state": "relaxed", "space_group": "Cmcm", "lattice_angstrom": [[-1.998, 7.531, -3.862], [-1.823, -7.926, 3.078], [-2.551, 4.528, 10.149]], "species": ["Ag", "Ag", "Te", "Te", "S", "S", "S", "S", "Cs", "Cs", "Sn", "Sn"], "frac_coords": [[0.944, 0.056, 0.250], [0.056, 0.944, 0.750], [0.567, 0.433, 0.250], [0.433, 0.567, 0.750], [0.895, 0.105, 0.044], [0.895, 0.105, 0.456], [0.105, 0.895, 0.956], [0.105, 0.895, 0.544], [0.739, 0.261, 0.750], [0.261, 0.739, 0.250], [0.500, 0.500, 0.500], [0.500, 0.500, 0.000]]}

=====

{"formula": "Cs2TaAgS4", "functional": "PBE", "state": "relaxed", "space_group": "P-1", "magmom_total_mub_per_cell": 0.00, "lattice_angstrom": [[-4.532, -5.134, -1.399], [0.452, -1.772, -7.283], [6.148, -9.114, -0.713]], "species": ["Cs", "Cs", "Cs", "Cs", "S", "S", "S", "S", "S", "S", "S", "S", "Ta", "Ta", "Ag", "Ag"], "frac_coords": [[0.277, 0.238, 0.403], [0.723, 0.762, 0.597], [0.756, 0.508, 0.189], [0.244, 0.492, 0.811], [0.758, 0.371, 0.889], [0.227, 0.039, 0.730], [0.754, 0.864, 0.885], [0.242, 0.629, 0.111], [0.773, 0.961, 0.270], [0.244, 0.740, 0.416], [0.756, 0.260, 0.584], [0.246, 0.136, 0.115], [0.128, 0.867, 0.226], [0.872, 0.133, 0.774], [0.343, 0.922, 0.945], [0.657, 0.078, 0.055]]}

=====

{"formula": "CsTaAgS3", "functional": "PBE", "state": "relaxed", "space_group": "Cmcm", "magmom_total_mub_per_cell": 0.98, "lattice_angstrom": [[-4.716, 5.998, 2.935], [-7.166, 3.632, 1.515], [-0.534, -4.712, 8.771]], "species": ["S", "S", "S", "S", "S", "S", "Ta", "Ta", "Cs", "Cs", "Ag", "Ag"], "frac_coords": [[0.943, 0.943, 0.750], [0.609, 0.609, 0.525], [0.609, 0.609, 0.975], [0.391, 0.391, 0.475], [0.391, 0.391, 0.025], [0.057, 0.057, 0.250], [0.000, 0.000, 0.000], [0.000, 0.000, 0.500], [0.256, 0.256, 0.750], [0.744, 0.744, 0.250], [0.551, 0.551, 0.750], [0.449, 0.449, 0.250]]}

=====

{"formula": "CsTaAgTe2S", "functional": "PBE", "state": "relaxed", "space_group": "Cmcm", "magmom_total_mub_per_cell": 0.01, "lattice_angstrom": [[2.067, -9.415, 0.000], [2.067, 9.415, 0.000], [0.000, 0.000, 9.810]], "species": ["S", "S", "Cs", "Cs", "Te", "Te", "Te", "Te", "Ag", "Ag", "Ta", "Ta"], "frac_coords": [[0.483, 0.517, 0.250], [0.517, 0.483, 0.750], [0.728, 0.272, 0.250], [0.272, 0.728, 0.750], [0.110, 0.890, 0.508], [0.890, 0.110, 0.008], [0.890, 0.110, 0.492], [0.110, 0.890, 0.992], [0.939, 0.061, 0.750], [0.061, 0.939, 0.250], [0.500, 0.500, 0.500], [0.500, 0.500, 0.000]]}

=====

{"formula": "CsTbAg3S4", "functional": "PBE", "state": "relaxed", "polymorph_energy_ev_per_atom": 0.098, "space_group": "P-43m", "magmom_total_mub_per_cell": 0.00, "lattice_angstrom": [[-5.067, -1.799, 3.808], [-0.298, -5.790, -3.131], [4.201, -2.580, 4.371]], "species": ["Tb", "S", "S", "S", "S", "Cs", "Ag", "Ag", "Ag"], "frac_coords": [[0.500, 0.500, 0.500], [0.722, 0.278, 0.722], [0.278, 0.722, 0.722], [0.278, 0.278, 0.278], [0.722, 0.722, 0.278], [0.000, 0.000, 0.000], [0.500, 0.500, 0.000], [0.000, 0.500, 0.500], [0.500, 0.000, 0.500]]}

=====

{"formula": "CsTbAg3S4", "functional": "PBE", "state": "relaxed", "polymorph_energy_ev_per_atom": 0.000, "space_group": "P2_1/m", "magmom_total_mub_per_cell": 0.60, "lattice_angstrom": [[6.255, 0.000, 0.000], [0.000, 7.621, 0.000], [-2.470, 0.000, 10.662]], "species": ["S", "S", "S", "S", "S", "S", "S", "S", "Cs", "Cs", "Tb", "Tb", "Ag", "Ag", "Ag", "Ag", "Ag", "Ag"], "frac_coords": [[0.335, 0.250, 0.095], [0.550, 0.250, 0.546], [0.884, 0.988, 0.297], [0.665, 0.750, 0.905], [0.884, 0.512, 0.297], [0.116, 0.012, 0.703], [0.116, 0.488, 0.703], [0.450, 0.750, 0.454], [0.739, 0.250, 0.886], [0.261, 0.750, 0.114], [0.380, 0.750, 0.690], [0.620, 0.250, 0.310], [0.784, 0.556, 0.530], [0.216, 0.056, 0.470], [0.924, 0.750, 0.774], [0.784, 0.944, 0.530], [0.076, 0.250, 0.226], [0.216, 0.444, 0.470]]}

=====

{"formula": "CsTcAgTeS2", "functional": "PBE", "state": "relaxed", "space_group": "Cmcm", "magmom_total_mub_per_cell": 4.72, "lattice_angstrom": [[-8.269, 1.450, 2.377], [6.647, -4.673, -3.180], [2.151, -3.478, 9.606]], "species": ["Tc", "Tc", "Ag", "Ag", "S", "S", "S", "S", "Te", "Te", "Cs", "Cs"], "frac_coords": [[0.000, 0.000, 0.000], [0.000, 0.000, 0.500], [0.551, 0.449, 0.750], [0.449, 0.551, 0.250], [0.597, 0.403, 0.528], [0.403, 0.597, 0.028], [0.403, 0.597, 0.472], [0.597, 0.403, 0.972], [0.927, 0.073, 0.750], [0.073, 0.927, 0.250], [0.768, 0.232, 0.250], [0.232, 0.768, 0.750]]}

=====

{"formula": "CsAgTe2WS", "functional": "PBE", "state": "relaxed", "space_group": "Cmcm", "magmom_total_mub_per_cell": 4.00, "lattice_angstrom": [[2.116, -8.929, 0.000], [2.116, 8.929, 0.000], [0.000, 0.000, 9.895]], "species": ["Te", "Te", "Te", "Te", "Ag", "Ag", "W", "W", "S", "S", "Cs", "Cs"], "frac_coords": [[0.609, 0.391, 0.005], [0.391, 0.609, 0.505], [0.391, 0.609, 0.995], [0.609, 0.391, 0.495], [0.542, 0.458, 0.250], [0.458, 0.542, 0.750], [0.000, 0.000, 0.000], [0.000, 0.000, 0.500], [0.037, 0.963, 0.750], [0.963, 0.037, 0.250], [0.231, 0.769, 0.250], [0.769, 0.231, 0.750]]}

=====

{"formula": "CsAgTeWS2", "functional": "PBE", "state": "relaxed", "space_group": "Cmcm", "magmom_total_mub_per_cell": 3.92, "lattice_angstrom": [[-7.786, 2.071, 3.144], [6.764, -5.246, -1.234], [4.491, 3.758, 8.647]], "species": ["Te", "Te", "S", "S", "S", "S", "Ag", "Ag", "Cs", "Cs", "W", "W"], "frac_coords": [[0.419, 0.581, 0.750], [0.581, 0.419, 0.250], [0.906, 0.094, 0.035], [0.094, 0.906, 0.965], [0.094, 0.906, 0.535], [0.906, 0.094, 0.465], [0.962, 0.038, 0.250], [0.038, 0.962, 0.750], [0.277, 0.723, 0.250], [0.723, 0.277, 0.750], [0.500, 0.500, 0.500], [0.500, 0.500, 0.000]]}

=====

{"formula": "CsThAgS3", "functional": "PBE", "state": "relaxed", "space_group": "Cmcm", "magmom_total_mub_per_cell": 0.01, "lattice_angstrom": [[2.117, -7.735, 0.000], [2.117, 7.735, 0.000], [0.000, 0.000, 10.782]], "species": ["Cs", "Cs", "S", "S", "S", "S", "S", "S", "Ag", "Ag", "Th", "Th"], "frac_coords": [[0.743, 0.257, 0.750], [0.257, 0.743, 0.250], [0.617, 0.383, 0.044], [0.383, 0.617, 0.956], [0.617, 0.383, 0.456], [0.383, 0.617, 0.544], [0.943, 0.057, 0.250], [0.057, 0.943, 0.750], [0.461, 0.539, 0.750], [0.539, 0.461, 0.250], [0.000, 0.000, 0.500], [0.000, 0.000, 0.000]]}

=====

What are the energy values for these records? In order: -3.73 -3.67 -3.61 -5.18 -5.36 -4.77 -4.01 -4.11 -4.55 -4.63 -4.94 -5.36 eV/atom.